Ta2Mn2O7 | GGA+U | relaxed

It has space group Imm2 (No. 44), with a = 3.045 Å, b = 11.656 Å, c = 6.448 Å, α = 90.00°, β = 90.00° and γ = 90.00°. The distinct sites, in fractional coordinates, are Ta at (0.000, 0.250, 0.000), Mn at (0.000, 0.000, 0.254), Mn at (0.000, 0.500, 0.260), O at (0.000, 0.170, 0.686), O at (0.000, 0.184, 0.313), O at (0.000, 0.377, 0.509) and O at (0.000, 0.500, 0.959).

The value obtained for the density of states at the Fermi level is 0.05 states/eV/atom. The magnetization is 0.9080 μB/atom. Its total energy is -195.216 eV/cell.